# PBE+U HoMnTeO6, relaxed
# Raw total energy: -120.79 eV/cell
# Symmetry: P-31c
data_HoMnTeO6
_chemical_formula_sum 'Ho2 Mn2 Te2 O12'
_cell_length_a 5.503
_cell_length_b 5.503
_cell_length_c 8.719
_cell_angle_alpha 90.00
_cell_angle_beta 90.00
_cell_angle_gamma 120.00
_symmetry_space_group_name_H-M 'P 1'
_symmetry_Int_Tables_number 1
loop_
_symmetry_equiv_pos_as_xyz
'x,y,z'
loop_
_atom_site_label
_atom_site_type_symbol
_atom_site_fract_x
_atom_site_fract_y
_atom_site_fract_z
O1 O 0.638 0.680 0.627
O2 O 0.958 0.320 0.127
O3 O 0.958 0.638 0.373
Te1 Te 0.333 0.667 0.750
O4 O 0.042 0.362 0.627
O5 O 0.680 0.638 0.127
O6 O 0.320 0.958 0.627
Ho1 Ho 0.333 0.667 0.250
O7 O 0.362 0.320 0.373
Mn1 Mn 0.000 0.000 0.000
Mn2 Mn 0.000 0.000 0.500
Te2 Te 0.667 0.333 0.250
O8 O 0.638 0.958 0.873
O9 O 0.042 0.680 0.873
O10 O 0.680 0.042 0.373
O11 O 0.320 0.362 0.873
O12 O 0.362 0.042 0.127
Ho2 Ho 0.667 0.333 0.750